Zr2NbZn6 GGA-PBE relaxed; space group = P6/mmm, No. 191; E_form = -0.19 eV/atom; VASP energy = -36.52 eV for the cell shown; total magnetization = 0.0000 μB/atom
1.0
3.129 0.000 0.001
0.000 6.479 3.725
-0.001 0.013 7.473
Zn Zr Nb
6 2 1
direct
0.500 0.670 0.330
0.500 0.330 0.670
0.500 0.000 0.670
0.500 0.000 0.330
0.500 0.330 0.000
0.500 0.670 0.000
0.000 0.667 0.667
0.000 0.333 0.333
0.000 0.000 0.000



KSc2Fe GGA-PBE relaxed; space group = R-3m, No. 166; E_form = 0.33 eV/atom; distance to the lowest polymorph of the same formula = 187 meV per atom; VASP energy = -20.89 eV for the cell shown; total magnetization = 0.0721 μB/atom
1.0
2.086 0.000 10.270
-1.043 1.807 10.270
-1.043 -1.807 10.270
Fe Sc K
1 2 1
direct
0.500 0.500 0.500
0.121 0.121 0.121
0.879 0.879 0.879
0.000 0.000 0.000



Mn5Fe2SiOs2 GGA-PBE relaxed; space group = P4/mbm, No. 127; VASP energy = -177.80 eV for the cell shown; total magnetization = 0.0797 μB/atom; formation energy without anion corrections = 175 meV/atom
1.0
-0.279 -1.832 3.168
-3.135 -6.294 -3.916
7.388 -3.004 -1.086
Mn Si Os Fe
10 2 4 4
direct
0.500 0.803 0.929
0.500 0.571 0.697
0.500 0.429 0.303
0.500 0.071 0.803
0.500 0.000 0.500
0.500 0.303 0.571
0.500 0.697 0.429
0.500 0.500 0.000
0.500 0.929 0.197
0.500 0.197 0.071
0.000 0.000 0.000
0.000 0.500 0.500
0.000 0.833 0.667
0.000 0.167 0.333
0.000 0.333 0.833
0.000 0.667 0.167
0.000 0.373 0.127
0.000 0.873 0.373
0.000 0.627 0.873
0.000 0.127 0.627



AgTe2SI GGA-PBE relaxed; space group = P4/mmm, No. 123; distance to the lowest polymorph of the same formula = 0 meV per atom; VASP energy = -12.00 eV for the cell shown; total magnetization = 0.0003 μB/atom; formation energy without anion corrections = 562 meV/atom
1.0
5.315 0.000 0.000
0.000 5.315 0.000
0.000 0.000 5.541
Te I S Ag
2 1 1 1
direct
0.500 0.000 0.000
0.000 0.500 0.000
0.000 0.000 0.500
0.000 0.000 0.000
0.500 0.500 0.500



Pr4HgSeS2 GGA-PBE relaxed; space group = P2/m, No. 10; VASP energy = -43.62 eV for the cell shown; total magnetization = 0.0000 μB/atom; formation energy without anion corrections = -1558 meV/atom
1.0
-3.174 -1.428 2.325
3.852 -6.141 1.487
3.966 1.100 6.091
Pr S Hg Se
4 2 1 1
direct
0.000 0.229 0.264
0.000 0.771 0.736
0.500 0.233 0.751
0.500 0.767 0.249
0.000 0.000 0.000
0.500 0.000 0.500
0.500 0.500 0.000
0.000 0.500 0.500



Ti2BrO2 GGA-PBE relaxed; space group = I4/mmm, No. 139; distance to the lowest polymorph of the same formula = 0 meV per atom; VASP energy = -37.26 eV for the cell shown; total magnetization = 0.1012 μB/atom; formation energy without anion corrections = -1976 meV/atom
1.0
3.895 0.000 0.000
0.000 3.895 0.000
1.947 1.947 5.104
O Ti Br
2 2 1
direct
0.693 0.693 0.614
0.307 0.307 0.386
0.250 0.750 0.500
0.750 0.250 0.500
0.000 0.000 0.000



Y3PbS6 GGA-PBE relaxed; space group = R-3, No. 148; VASP energy = -127.23 eV for the cell shown; total magnetization = 0.0000 μB/atom; formation energy without anion corrections = -1575 meV/atom
1.0
-1.169 -7.620 -2.515
6.839 0.508 -4.328
4.138 -2.636 6.456
Y S Pb
6 12 2
direct
0.242 0.561 0.073
0.927 0.758 0.439
0.439 0.927 0.758
0.758 0.439 0.927
0.561 0.073 0.242
0.073 0.242 0.561
0.817 0.470 0.595
0.595 0.817 0.470
0.669 0.112 0.919
0.331 0.888 0.081
0.183 0.530 0.405
0.888 0.081 0.331
0.530 0.405 0.183
0.470 0.595 0.817
0.112 0.919 0.669
0.405 0.183 0.530
0.081 0.331 0.888
0.919 0.669 0.112
0.500 0.500 0.500
0.000 0.000 0.000



DyMn4V GGA-PBE relaxed; space group = F-43m, No. 216; E_form = 0.12 eV/atom; VASP energy = -49.70 eV for the cell shown; total magnetization = 0.5232 μB/atom
1.0
-0.676 2.702 -4.067
1.730 -1.593 -4.332
-3.126 -1.536 -3.488
Mn V Dy
4 1 1
direct
0.624 0.127 0.624
0.127 0.624 0.624
0.624 0.624 0.127
0.624 0.624 0.624
0.250 0.250 0.250
0.000 0.000 0.000



LaAl2Re GGA-PBE relaxed; space group = P4/mmm, No. 123; E_form = 0.26 eV/atom; distance to the lowest polymorph of the same formula = 428 meV per atom; VASP energy = -23.84 eV for the cell shown; total magnetization = 0.0001 μB/atom
1.0
-2.138 0.528 -3.472
0.643 -3.937 -0.994
-3.925 -1.205 2.233
Al La Re
2 1 1
direct
0.500 0.500 0.000
0.000 0.000 0.000
0.500 0.000 0.500
0.000 0.500 0.500



BaSiRu2 GGA-PBE relaxed; space group = C2/m, No. 12; VASP energy = -22.65 eV for the cell shown; total magnetization = 0.0000 μB/atom; formation energy without anion corrections = 812 meV/atom
1.0
5.515 0.000 0.001
-2.750 4.691 -0.005
0.015 1.013 2.907
Si Ba Ru
1 1 2
direct
0.000 0.500 0.500
0.500 0.500 0.000
0.500 0.000 0.500
0.000 0.000 0.000



AcSmThN3 GGA-PBE relaxed; space group = P2_1/m, No. 11; VASP energy = -96.79 eV for the cell shown; total magnetization = 0.0000 μB/atom; formation energy without anion corrections = -1195 meV/atom
1.0
3.572 0.000 0.000
0.000 7.224 1.508
0.000 -0.982 9.962
Th Sm Ac N
2 2 2 6
direct
0.750 0.394 0.869
0.250 0.606 0.131
0.750 0.804 0.493
0.250 0.196 0.507
0.750 0.899 0.841
0.250 0.101 0.159
0.750 0.096 0.388
0.250 0.618 0.903
0.750 0.832 0.113
0.750 0.382 0.097
0.250 0.168 0.887
0.250 0.904 0.612



La2YOs GGA-PBE relaxed; space group = Cmmm, No. 65; E_form = -0.03 eV/atom; distance to the lowest polymorph of the same formula = 134 meV per atom; VASP energy = -27.65 eV for the cell shown; total magnetization = 0.0000 μB/atom
1.0
-0.060 -2.227 3.465
0.909 -5.525 -3.535
5.667 -2.925 -1.781
La Y Os
2 1 1
direct
0.000 0.096 0.096
0.000 0.404 0.404
0.500 0.750 0.750
0.500 0.250 0.250



MnTl2CoRu GGA-PBE relaxed; space group = P4/mmm, No. 123; E_form = 1.37 eV/atom; VASP energy = -23.44 eV for the cell shown; total magnetization = 0.8074 μB/atom
1.0
5.032 0.000 0.000
0.000 4.069 0.000
0.000 0.000 5.032
Ru Co Tl Mn
1 1 2 1
direct
0.500 0.500 0.500
0.000 0.500 0.000
0.000 0.000 0.500
0.500 0.000 0.000
0.000 0.000 0.000



Fe2PbI GGA-PBE relaxed; space group = I-42d, No. 122; distance to the lowest polymorph of the same formula = 247 meV per atom; VASP energy = -35.28 eV for the cell shown; total magnetization = 0.0001 μB/atom; formation energy without anion corrections = 1136 meV/atom
1.0
-1.440 4.572 3.544
-3.279 -3.653 3.382
1.992 -0.575 6.565
Fe I Pb
4 2 2
direct
0.875 0.852 0.750
0.148 0.625 0.250
0.375 0.398 0.750
0.602 0.125 0.250
0.250 0.750 0.500
0.500 0.500 0.000
0.750 0.250 0.500
0.000 0.000 0.000



Np4Fe7Ge6 GGA-PBE relaxed; space group = Im-3m, No. 229; E_form = -0.22 eV/atom; VASP energy = -142.52 eV for the cell shown; total magnetization = 0.4656 μB/atom
1.0
6.627 0.000 -2.343
-3.314 5.740 -2.343
0.000 0.000 7.029
Np Fe Ge
4 7 6
direct
0.000 0.500 0.000
0.500 0.000 0.000
0.000 0.000 0.500
0.500 0.500 0.500
0.750 0.500 0.250
0.250 0.500 0.750
0.000 0.000 0.000
0.750 0.250 0.500
0.500 0.750 0.250
0.250 0.750 0.500
0.500 0.250 0.750
0.683 0.683 0.000
0.317 0.317 0.000
0.000 0.317 0.317
0.317 0.000 0.317
0.000 0.683 0.683
0.683 0.000 0.683



ThPaGe2 GGA-PBE relaxed; space group = P4/mmm, No. 123; E_form = -0.44 eV/atom; distance to the lowest polymorph of the same formula = 169 meV per atom; VASP energy = -27.90 eV for the cell shown; total magnetization = 0.0001 μB/atom
1.0
-2.483 -0.035 -2.342
-2.329 -0.322 2.474
-0.575 7.943 0.491
Ge Pa Th
2 1 1
direct
0.000 0.000 0.760
0.000 0.000 0.240
0.500 0.500 0.000
0.500 0.500 0.500



NpSi4Rh6 GGA-PBE relaxed; space group = P-6m2, No. 187; VASP energy = -88.07 eV for the cell shown; total magnetization = 0.3184 μB/atom; formation energy without anion corrections = -848 meV/atom
1.0
-2.417 -2.118 -1.982
3.147 1.999 -5.975
2.238 -5.742 3.409
Np Rh Si
1 6 4
direct
0.000 0.000 0.000
0.500 0.198 0.395
0.000 0.935 0.467
0.000 0.533 0.065
0.500 0.605 0.802
0.500 0.198 0.802
0.000 0.533 0.467
0.000 0.333 0.667
0.500 0.401 0.200
0.500 0.800 0.599
0.500 0.800 0.200



EuInAgGe GGA-PBE relaxed; space group = F-43m, No. 216; E_form = -0.28 eV/atom; VASP energy = -21.60 eV for the cell shown; total magnetization = 1.7504 μB/atom
1.0
5.087 0.000 0.000
2.544 4.405 0.000
2.544 1.468 4.154
Eu Ag In Ge
1 1 1 1
direct
0.500 0.500 0.500
0.250 0.250 0.250
0.000 0.000 0.000
0.750 0.750 0.750



BaCrAgPt2 GGA-PBE relaxed; space group = P4/mmm, No. 123; E_form = 1.63 eV/atom; VASP energy = -18.33 eV for the cell shown; total magnetization = 0.9042 μB/atom
1.0
-3.628 -3.016 -2.714
3.046 -4.739 1.195
-2.859 -0.683 4.581
Ag Pt Cr Ba
1 2 1 1
direct
0.000 0.500 0.000
0.500 0.000 0.000
0.000 0.000 0.500
0.500 0.500 0.500
0.000 0.000 0.000



HfMn2Nb GGA-PBE relaxed; space group = P4/mmm, No. 123; E_form = -0.13 eV/atom; VASP energy = -38.89 eV for the cell shown; total magnetization = 0.1177 μB/atom
1.0
3.114 0.000 0.000
0.000 4.398 0.000
0.000 0.000 4.398
Hf Mn Nb
1 2 1
direct
0.500 0.000 0.000
0.000 0.500 0.000
0.000 0.000 0.500
0.500 0.500 0.500



CrAg2Pt GGA-PBE relaxed; space group = P2/m, No. 10; E_form = 0.17 eV/atom; distance to the lowest polymorph of the same formula = 77 meV per atom; VASP energy = -20.68 eV for the cell shown; total magnetization = 0.9950 μB/atom
1.0
-4.640 -1.544 0.150
0.030 -0.363 -2.820
1.533 -4.565 0.414
Pt Cr Ag
1 1 2
direct
0.500 0.750 0.750
0.500 0.250 0.250
0.000 0.502 0.499
0.000 0.998 0.001



Tb3Si2GeRh9 GGA-PBE relaxed; space group = P-3m1, No. 164; VASP energy = -104.23 eV for the cell shown; total magnetization = 0.0000 μB/atom; formation energy without anion corrections = -581 meV/atom
1.0
6.380 0.000 0.000
-3.190 5.525 0.000
0.000 0.000 7.743
Rh Si Tb Ge
9 2 3 1
direct
0.500 0.500 0.000
0.828 0.172 0.668
0.500 0.000 0.000
0.000 0.500 0.000
0.655 0.828 0.332
0.172 0.345 0.332
0.345 0.172 0.668
0.828 0.655 0.668
0.172 0.828 0.332
0.667 0.333 0.840
0.333 0.667 0.160
0.667 0.333 0.334
0.000 0.000 0.000
0.333 0.667 0.666
0.000 0.000 0.500



As2IrBr GGA-PBE relaxed; space group = Cmmm, No. 65; distance to the lowest polymorph of the same formula = 909 meV per atom; VASP energy = -16.91 eV for the cell shown; total magnetization = 0.0000 μB/atom; formation energy without anion corrections = 729 meV/atom
1.0
5.018 -0.025 0.000
-2.055 4.578 0.000
0.000 0.000 3.222
Br As Ir
1 2 1
direct
0.500 0.000 0.500
0.000 0.000 0.000
0.500 0.500 0.000
0.000 0.500 0.500



BaLiInHg GGA-PBE relaxed; space group = R3m, No. 160; E_form = -0.35 eV/atom; distance to the lowest polymorph of the same formula = 0 meV per atom; VASP energy = -8.29 eV for the cell shown; total magnetization = 0.0000 μB/atom
1.0
4.869 0.000 0.000
2.434 4.216 0.000
2.434 1.405 5.980
Hg Ba Li In
1 1 1 1
direct
0.286 0.286 0.142
0.811 0.811 0.567
0.618 0.618 0.147
0.011 0.011 0.966



Ti2TeP GGA-PBE relaxed; space group = R3m, No. 160; distance to the lowest polymorph of the same formula = 1 meV per atom; VASP energy = -27.99 eV for the cell shown; total magnetization = 0.0000 μB/atom; formation energy without anion corrections = -913 meV/atom
1.0
-2.641 1.108 2.269
0.571 -0.005 3.609
1.526 6.348 1.618
P Te Ti
1 1 2
direct
0.668 0.668 0.997
0.499 0.499 0.504
0.269 0.269 0.194
0.065 0.065 0.805